Entry 1:
Computed, not measured: a geometry-optimized Ho6ZnS5 structure at the PBE-GGA level of DFT.

Computed properties:
**Uncorrected formation energy**: -1.696 eV/atom
**D(E_F)**: 0.3415 states/eV per atom
**Symmetry**: No. 12

Cell lengths 6.8042, 6.8042, 6.7841 Å; angles 99.60, 99.60, 119.94 degrees
With the nearest neighbours (Å) after each atom.
Fractional positions:
Ho: 0.0815 0.4169 0.7501  5 S 2.75-2.78, 1 Zn 2.79
Ho: 0.2485 0.2485 0.2501  5 S 2.77-2.79, 1 Zn 2.78
Ho: 0.4169 0.0815 0.7501  5 S 2.75-2.78, 1 Zn 2.79
Ho: 0.5831 0.9185 0.2499  5 S 2.75-2.78, 1 Zn 2.79
Ho: 0.7515 0.7515 0.7499  5 S 2.77-2.79, 1 Zn 2.78
Ho: 0.9185 0.5831 0.2499  5 S 2.75-2.78, 1 Zn 2.79
Zn: 0.5000 0.5000 0.0000  6 Ho 2.78-2.79
S: 0.0000 0.0000 0.5000  6 Ho 2.77-2.78
S: 0.1660 0.8340 0.0000  6 Ho 2.77
S: 0.3319 0.6681 0.5000  6 Ho 2.75-2.79
S: 0.6681 0.3319 0.5000  6 Ho 2.75-2.79
S: 0.8340 0.1660 0.0000  6 Ho 2.77

Entry 2:
Computed, not measured: a geometry-optimized Ho2ZnS4 structure at the PBE-GGA level of DFT.

Computed properties:
**Uncorrected formation energy**: -1.701 eV/atom
**D(E_F)**: 0.0000 states/eV per atom
**Excess energy over the best structure of this formula in the dataset**: 0 meV per atom
**Symmetry**: No. 62

Cell lengths 13.5027, 7.8740, 6.3215 Å; angles 90.00, 90.00, 90.00 degrees
With the nearest neighbours (Å) after each atom.
Fractional positions:
Ho: 0.0000 0.0000 0.0000  6 S 2.72-2.75
Ho: 0.0000 0.5000 0.0000  6 S 2.72-2.75
Ho: 0.2344 0.2500 0.4960  6 S 2.72-2.77
Ho: 0.2656 0.7500 0.9960  6 S 2.72-2.77
Ho: 0.5000 0.0000 0.5000  6 S 2.72-2.75
Ho: 0.5000 0.5000 0.5000  6 S 2.72-2.75
Ho: 0.7344 0.2500 0.0040  6 S 2.72-2.77
Ho: 0.7656 0.7500 0.5040  6 S 2.72-2.77
Zn: 0.0916 0.7500 0.4108  4 S 2.31-2.39
Zn: 0.4084 0.2500 0.9108  4 S 2.31-2.39
Zn: 0.5916 0.7500 0.0892  4 S 2.31-2.39
Zn: 0.9084 0.2500 0.5892  4 S 2.31-2.39
S: 0.0701 0.2500 0.7440  1 Zn 2.39
S: 0.0904 0.7500 0.7754  1 Zn 2.31
S: 0.1682 0.5136 0.2438  1 Zn 2.38
S: 0.1682 0.9864 0.2438  1 Zn 2.38
S: 0.3318 0.0136 0.7438  1 Zn 2.38
S: 0.3318 0.4864 0.7438  1 Zn 2.38
S: 0.4096 0.2500 0.2754  1 Zn 2.31
S: 0.4299 0.7500 0.2440  1 Zn 2.39
S: 0.5701 0.2500 0.7560  1 Zn 2.39
S: 0.5904 0.7500 0.7246  1 Zn 2.31
S: 0.6682 0.5136 0.2562  1 Zn 2.38
S: 0.6682 0.9864 0.2562  1 Zn 2.38
S: 0.8318 0.0136 0.7562  1 Zn 2.38
S: 0.8318 0.4864 0.7562  1 Zn 2.38
S: 0.9096 0.2500 0.2246  1 Zn 2.31
S: 0.9299 0.7500 0.2560  1 Zn 2.39

Entry 3:
Computed, not measured: a geometry-optimized Ho3ZnS6 structure at the PBE-GGA level of DFT.

Computed properties:
**Uncorrected formation energy**: -1.610 eV/atom
**D(E_F)**: 0.6037 states/eV per atom
**Symmetry**: No. 36

Cell lengths 8.5924, 8.5924, 6.2862 Å; angles 90.00, 90.00, 102.56 degrees
With the nearest neighbours (Å) after each atom.
Fractional positions:
Ho: 0.1104 0.8896 0.5000  7 S 2.77-2.81
Ho: 0.2162 0.4258 0.4232  7 S 2.74-2.96
Ho: 0.4258 0.2162 0.9232  7 S 2.74-2.96
Ho: 0.5742 0.7838 0.4232  7 S 2.74-2.96
Ho: 0.7838 0.5742 0.9232  7 S 2.74-2.96
Ho: 0.8896 0.1104 0.0000  7 S 2.77-2.81
Zn: 0.3018 0.6982 0.8767  4 S 2.30-2.38
Zn: 0.6982 0.3018 0.3767  4 S 2.30-2.38
S: 0.0627 0.5951 0.6968  1 Zn 2.34
S: 0.1406 0.1821 0.7116  4 Ho 2.74-2.81
S: 0.1821 0.1406 0.2116  4 Ho 2.74-2.81
S: 0.2787 0.7213 0.2390  1 Zn 2.30
S: 0.4049 0.9373 0.6968  1 Zn 2.34
S: 0.4648 0.5352 0.7274  1 Zn 2.38
S: 0.5352 0.4648 0.2274  1 Zn 2.38
S: 0.5951 0.0627 0.1968  1 Zn 2.34
S: 0.7213 0.2787 0.7390  1 Zn 2.30
S: 0.8179 0.8594 0.7116  4 Ho 2.74-2.81
S: 0.8594 0.8179 0.2116  4 Ho 2.74-2.81
S: 0.9373 0.4049 0.1968  1 Zn 2.34

Entry 4:
Computed, not measured: a geometry-optimized Ho7ZnS5 structure at the PBE-GGA level of DFT.

Computed properties:
**Uncorrected formation energy**: -1.591 eV/atom
**D(E_F)**: 0.4420 states/eV per atom
**Symmetry**: No. 2

Cell lengths 3.8825, 6.6857, 23.3017 Å; angles 89.94, 90.00, 73.22 degrees
With the nearest neighbours (Å) after each atom.
Fractional positions:
Ho: 0.0272 0.4454 0.2501  2 S 2.72, 2 Zn 2.95-2.96
Ho: 0.1359 0.2275 0.9637  6 S 2.69-2.75
Ho: 0.1366 0.2260 0.5362  6 S 2.70-2.75
Ho: 0.3167 0.8668 0.3244  3 S 2.71-2.73, 2 Zn 3.00
Ho: 0.3182 0.8638 0.1754  3 S 2.72, 2 Zn 3.00
Ho: 0.4097 0.6813 0.8903  5 S 2.72-2.81
Ho: 0.4109 0.6789 0.6095  5 S 2.71-2.80
Ho: 0.5891 0.3211 0.3905  5 S 2.71-2.80
Ho: 0.5903 0.3187 0.1097  5 S 2.72-2.81
Ho: 0.6818 0.1362 0.8246  3 S 2.72, 2 Zn 3.00
Ho: 0.6833 0.1332 0.6756  3 S 2.71-2.73, 2 Zn 3.00
Ho: 0.8634 0.7740 0.4638  6 S 2.70-2.75
Ho: 0.8641 0.7725 0.0363  6 S 2.69-2.75
Ho: 0.9728 0.5546 0.7499  2 S 2.72, 2 Zn 2.95-2.96
Zn: 0.2985 0.9019 0.7505  6 Ho 2.95-3.00
Zn: 0.7015 0.0981 0.2495  6 Ho 2.95-3.00
S: 0.0473 0.4055 0.6408  6 Ho 2.70-2.73
S: 0.0471 0.4058 0.8592  6 Ho 2.69-2.72
S: 0.2264 0.0481 0.4295  6 Ho 2.71-2.77
S: 0.2260 0.0487 0.0704  6 Ho 2.72-2.76
S: 0.5000 0.5000 0.0000  6 Ho 2.74-2.81
S: 0.5000 0.5000 0.5000  6 Ho 2.75-2.80
S: 0.7740 0.9513 0.9296  6 Ho 2.72-2.76
S: 0.7736 0.9519 0.5705  6 Ho 2.71-2.77
S: 0.9529 0.5942 0.1408  6 Ho 2.69-2.72
S: 0.9527 0.5945 0.3592  6 Ho 2.70-2.73

Entry 5:
Computed, not measured: a geometry-optimized Ho4ZnS2 structure at the PBE-GGA level of DFT.

Computed properties:
**Uncorrected formation energy**: -1.239 eV/atom
**D(E_F)**: 0.6773 states/eV per atom
**Symmetry**: No. 63

Cell lengths 6.6263, 6.6263, 13.4078 Å; angles 90.00, 90.00, 145.67 degrees
With the nearest neighbours (Å) after each atom.
Fractional positions:
Ho: 0.0000 0.0000 0.0000  4 S 2.73
Ho: 0.0000 0.0000 0.5000  4 S 2.73
Ho: 0.2710 0.7290 0.6204  3 S 2.69-2.72, 2 Zn 3.00
Ho: 0.2710 0.7290 0.8796  3 S 2.69-2.72, 2 Zn 3.00
Ho: 0.4406 0.5594 0.2500  2 S 2.73, 2 Zn 2.93
Ho: 0.5594 0.4406 0.7500  2 S 2.73, 2 Zn 2.93
Ho: 0.7290 0.2710 0.1204  3 S 2.69-2.72, 2 Zn 3.00
Ho: 0.7290 0.2710 0.3796  3 S 2.69-2.72, 2 Zn 3.00
Zn: 0.1130 0.8870 0.2500  6 Ho 2.93-3.00
Zn: 0.8870 0.1130 0.7500  6 Ho 2.93-3.00
S: 0.3641 0.6358 0.0598  6 Ho 2.69-2.73
S: 0.3641 0.6358 0.4402  6 Ho 2.69-2.73
S: 0.6358 0.3641 0.5598  6 Ho 2.69-2.73
S: 0.6358 0.3641 0.9402  6 Ho 2.69-2.73

Entry 6:
Computed, not measured: a geometry-optimized Ho2ZnS4 structure at the PBE-GGA level of DFT.

Computed properties:
**Uncorrected formation energy**: -1.672 eV/atom
**Excess energy over the best structure of this formula in the dataset**: 29 meV per atom
**Symmetry**: No. 227

Cell lengths 7.7690, 7.7690, 7.7690 Å; angles 60.00, 60.00, 60.00 degrees
With the nearest neighbours (Å) after each atom.
Fractional positions:
Ho: 0.0000 0.0000 0.0000  6 S 2.72
Ho: 0.0000 0.0000 0.5000  6 S 2.72
Ho: 0.0000 0.5000 0.0000  6 S 2.72
Ho: 0.5000 0.0000 0.0000  6 S 2.72
Zn: 0.3750 0.3750 0.3750  4 S 2.42
Zn: 0.6250 0.6250 0.6250  4 S 2.42
S: 0.2440 0.7520 0.7520  1 Zn 2.42
S: 0.2480 0.2480 0.2480  1 Zn 2.42
S: 0.2480 0.2480 0.7560  1 Zn 2.42
S: 0.2480 0.7560 0.2480  1 Zn 2.42
S: 0.7520 0.2440 0.7520  1 Zn 2.42
S: 0.7520 0.7520 0.2440  1 Zn 2.42
S: 0.7520 0.7520 0.7520  1 Zn 2.42
S: 0.7560 0.2480 0.2480  1 Zn 2.42

Entry 7:
Computed, not measured: a geometry-optimized Ho3ZnS2 structure at the PBE-GGA level of DFT.

Computed properties:
**Uncorrected formation energy**: -1.405 eV/atom
**D(E_F)**: 0.5440 states/eV per atom
**Symmetry**: No. 71

Cell lengths 6.9877, 6.9877, 6.9877 Å; angles 148.03, 132.63, 58.30 degrees
With the nearest neighbours (Å) after each atom.
Fractional positions:
Ho: 0.0000 0.0000 0.0000  4 S 2.79, 2 Zn 2.81
Ho: 0.3250 0.3250 0.0000  4 S 2.74-2.81, 2 Zn 2.88
Ho: 0.6750 0.6750 0.0000  4 S 2.74-2.81, 2 Zn 2.88
Zn: 0.5000 0.0000 0.5000  6 Ho 2.81-2.88
S: 0.1652 0.6652 0.5000  6 Ho 2.74-2.81
S: 0.8348 0.3348 0.5000  6 Ho 2.74-2.81

Entry 8:
Computed, not measured: a geometry-optimized HoZrS structure at the PBE-GGA level of DFT.

Computed properties:
**Uncorrected formation energy**: -1.266 eV/atom
**D(E_F)**: 0.8028 states/eV per atom
**Excess energy over the best structure of this formula in the dataset**: 0 meV per atom
**Symmetry**: No. 129

Cell lengths 3.8767, 3.8767, 8.8983 Å; angles 90.00, 90.00, 90.00 degrees
With the nearest neighbours (Å) after each atom.
Fractional positions:
Ho: 0.2500 0.2500 0.1780  5 S 2.77-2.79
Ho: 0.7500 0.7500 0.8220  5 S 2.77-2.79
Zr: 0.2500 0.2500 0.5626  1 S 2.68, 4 Zr 2.96
Zr: 0.7500 0.7500 0.4374  1 S 2.68, 4 Zr 2.96
S: 0.2500 0.2500 0.8643  1 Zr 2.68, 5 Ho 2.77-2.79
S: 0.7500 0.7500 0.1357  1 Zr 2.68, 5 Ho 2.77-2.79

Entry 9:
Computed, not measured: a geometry-optimized HoZr2S5 structure at the PBE-GGA level of DFT.

Computed properties:
**Uncorrected formation energy**: -1.329 eV/atom
**D(E_F)**: 0.2666 states/eV per atom
**Symmetry**: No. 12

Cell lengths 7.2544, 7.2544, 7.0411 Å; angles 97.08, 97.08, 139.37 degrees
With the nearest neighbours (Å) after each atom.
Fractional positions:
Ho: 0.0000 0.0000 0.0000  6 S 2.52-2.78
Zr: 0.3145 0.6855 0.0000  3 S 2.52
Zr: 0.6855 0.3145 0.0000  3 S 2.52
S: 0.0494 0.7119 0.7627  1 Zr 2.52, 1 Ho 2.78
S: 0.2881 0.9506 0.2373  1 Zr 2.52, 1 Ho 2.78
S: 0.5000 0.5000 0.0000  2 Ho 2.52, 2 Zr 2.52
S: 0.7119 0.0494 0.7627  1 Zr 2.52, 1 Ho 2.78
S: 0.9506 0.2881 0.2373  1 Zr 2.52, 1 Ho 2.78

Entry 10:
Computed, not measured: a geometry-optimized HoZrS2 structure at the PBE-GGA level of DFT.

Computed properties:
**Uncorrected formation energy**: -1.643 eV/atom
**D(E_F)**: 0.7215 states/eV per atom
**Excess energy over the best structure of this formula in the dataset**: 23 meV per atom
**Symmetry**: No. 160

Cell lengths 6.9889, 6.9889, 6.9889 Å; angles 30.54, 30.54, 30.54 degrees
With the nearest neighbours (Å) after each atom.
Fractional positions:
Ho: 0.0000 0.0000 0.0000  6 S 2.69-2.81
Zr: 0.1758 0.1758 0.1758  6 S 2.60-2.70
S: 0.5845 0.5845 0.5845  3 Zr 2.60, 3 Ho 2.69
S: 0.7590 0.7590 0.7590  3 Zr 2.70, 3 Ho 2.81

Entry 11:
Computed, not measured: a geometry-optimized Ho2Zr2S7 structure at the PBE-GGA level of DFT.

Computed properties:
**Uncorrected formation energy**: -1.694 eV/atom
**D(E_F)**: 0.0840 states/eV per atom
**Symmetry**: No. 44

Cell lengths 8.2567, 8.2567, 8.2567 Å; angles 153.48, 67.57, 119.13 degrees
With the nearest neighbours (Å) after each atom.
Fractional positions:
Ho: 0.2319 0.0000 0.2319  7 S 2.64-2.95
Ho: 0.7681 0.0000 0.7681  7 S 2.64-2.95
Zr: 0.3000 0.8000 0.5000  8 S 2.61-2.80
Zr: 0.7458 0.7458 0.0000  7 S 2.63-2.75
S: 0.0231 0.7044 0.3188  1 Zr 2.61, 3 Ho 2.64-2.75
S: 0.0739 0.0739 0.0000  3 Zr 2.68-2.75
S: 0.3739 0.4779 0.8960  3 Zr 2.66-2.80, 1 S 2.85, 2 Ho 2.95
S: 0.3856 0.7044 0.6812  1 Zr 2.61, 3 Ho 2.64-2.75
S: 0.5819 0.4779 0.1040  3 Zr 2.66-2.80, 1 S 2.85, 2 Ho 2.95
S: 0.6630 0.2926 0.3704  2 Zr 2.63, 2 Ho 2.93
S: 0.9222 0.2926 0.6296  2 Zr 2.63, 2 Ho 2.93

Entry 12:
Computed, not measured: a geometry-optimized HoZrS structure at the PBE-GGA level of DFT.

Computed properties:
**Uncorrected formation energy**: -0.575 eV/atom
**D(E_F)**: 1.0142 states/eV per atom
**Excess energy over the best structure of this formula in the dataset**: 691 meV per atom
**Symmetry**: No. 187

Cell lengths 4.4251, 4.4251, 4.0086 Å; angles 90.00, 90.00, 120.00 degrees
With the nearest neighbours (Å) after each atom.
Fractional positions:
Ho: 0.0000 0.0000 0.0000  6 Zr 3.25, 6 S 3.25
Zr: 0.6667 0.3333 0.5000  3 S 2.55
S: 0.3333 0.6667 0.5000  3 Zr 2.55